Computed, not measured: a relaxed Ti2CdRh crystal at the GGA-PBE level of DFT.

Cell lengths 5.8590, 5.8590, 5.8590 Å; angles 102.65, 102.65, 124.20 degrees
Positions (direct):
1 Ti 0.0779 0.1250 0.4529
2 Ti 0.3750 0.9221 0.0471
3 Ti 0.6721 0.6250 0.5471
4 Ti 0.8750 0.3279 0.9529
5 Cd 0.2500 0.7500 0.5000
6 Cd 0.5000 0.5000 0.0000
7 Rh 0.0000 0.0000 0.0000
8 Rh 0.7500 0.2500 0.5000

## Properties
Crystal system   tetragonal
Raw total energy   -48.2 eV per cell
Total moment   0.0 μB/f.u.